! Cu3TcB PBE-GGA relaxed; values from VASP
&SYSTEM
  ibrav = 0, nat = 5, ntyp = 3
/
ATOMIC_SPECIES
Cu 63.55 Cu.upf
B 10.81 B.upf
Tc 98.00 Tc.upf
CELL_PARAMETERS angstrom
4.6509 0.0000 0.0000
0.0000 4.6509 0.0000
0.0000 0.0000 4.6509
ATOMIC_POSITIONS crystal
Cu 0.5000 0.0000 0.0000
Cu 0.0000 0.5000 0.0000
Cu 0.0000 0.0000 0.5000
B 0.5000 0.5000 0.5000
Tc 0.0000 0.0000 0.0000
! Uncorrected energy   -18.06 eV per cell
! Formation enthalpy at 0 K   2.2553 eV per atom